[1]
## PmPaGaPt (GGA-PBE)

Data for a geometry-optimized PmPaGaPt structure.

Cell lengths 5.0690, 5.0690, 5.0690 Å; angles 60.00, 60.00, 60.00 degrees
Last column: magnetic moment on the atom in μB.
Atoms (fractional coordinates):
Pa  0.0000  0.0000  0.0000  0.57
Ga  0.2500  0.2500  0.2500  -0.01
Pt  0.7500  0.7500  0.7500  -0.02
Pm  0.5000  0.5000  0.5000  0.09

The total energy is -25.23 eV per cell. The magnetization comes out at 0.8 μB per cell. Its symmetry is F-43m, No. 216. Its formation energy from the elements is -0.480 eV per atom.

[2]
## Ho2ThMg9 (GGA-PBE)

Data for a geometry-optimized Ho2ThMg9 structure.

Cell lengths 6.0189, 6.0189, 10.2956 Å; angles 73.00, 73.00, 60.00 degrees
Atoms (fractional coordinates):
Ho  0.8570  0.8570  0.4289
Ho  0.1430  0.1430  0.5711
Th  0.0000  0.0000  0.0000
Mg  0.6660  0.6660  0.0021
Mg  0.3340  0.3340  0.9979
Mg  0.5000  0.5000  0.5000
Mg  0.4133  0.4133  0.2523
Mg  0.9212  0.4133  0.2523
Mg  0.4133  0.9212  0.2523
Mg  0.5867  0.5867  0.7477
Mg  0.5867  0.0788  0.7477
Mg  0.0788  0.5867  0.7477

The total energy is -30.90 eV per cell. The magnetization comes out at 0.0 μB per cell. Its symmetry is R-3m, No. 166. Its formation energy from the elements is 0.002 eV per atom.

[3]
## Ca6Ni2Ag (GGA-PBE)

Data for a geometry-optimized Ca6Ni2Ag structure.

Cell lengths 8.7217, 8.7217, 8.7217 Å; angles 105.52, 110.38, 112.59 degrees
Atoms (fractional coordinates):
Ca  0.4713  0.2895  0.1818
Ca  0.5287  0.7105  0.8182
Ca  0.8923  0.7105  0.1818
Ca  0.1077  0.2895  0.8182
Ca  0.2035  0.7731  0.9765
Ca  0.7965  0.2269  0.0235
Ca  0.7965  0.7731  0.5696
Ca  0.2035  0.2269  0.4304
Ca  0.3062  0.9823  0.6762
Ca  0.6938  0.0177  0.3238
Ca  0.6938  0.3700  0.6762
Ca  0.3062  0.6300  0.3238
Ni  0.5000  0.3887  0.8887
Ni  0.5000  0.6113  0.1113
Ni  0.3787  0.0000  0.3787
Ni  0.6213  0.0000  0.6213
Ag  0.0000  0.5000  0.5000
Ag  0.0000  0.0000  0.0000

The total energy is -55.42 eV per cell. The magnetization comes out at 0.0 μB per cell. Its symmetry is Immm, No. 71. Its formation energy from the elements is -0.143 eV per atom.

[4]
## Tb2Pm3ErTe6 (GGA-PBE)

Data for a geometry-optimized Tb2Pm3ErTe6 structure.

Cell lengths 4.3742, 8.8964, 9.8876 Å; angles 103.75, 102.78, 90.00 degrees
Atoms (fractional coordinates):
Tb  0.8319  0.6652  0.6639
Tb  0.1681  0.3348  0.3361
Pm  0.5000  0.5000  0.0000
Pm  0.8314  0.1669  0.6628
Pm  0.1686  0.8331  0.3372
Er  0.5000  0.0000  0.0000
Te  0.3372  0.9137  0.6744
Te  0.6678  0.5783  0.3355
Te  0.6628  0.0863  0.3256
Te  0.0015  0.2420  0.0029
Te  0.9985  0.7580  0.9971
Te  0.3322  0.4217  0.6645

The total energy is -63.08 eV per cell. The magnetization comes out at 0.0 μB per cell. Its symmetry is C2/m, No. 12.

[5]
## ZnFe2Mo (GGA-PBE)

Data for a geometry-optimized ZnFe2Mo structure.

Cell lengths 2.8882, 2.8882, 6.3565 Å; angles 90.00, 90.00, 90.00 degrees
Last column: magnetic moment on the atom in μB.
Atoms (fractional coordinates):
Fe  0.0000  0.0000  0.0184  2.56
Fe  0.5000  0.5000  0.2312  1.98
Mo  0.0000  0.0000  0.4769  -0.03
Zn  0.5000  0.5000  0.7735  -0.03

The total energy is -28.57 eV per cell. The magnetization comes out at 4.5 μB per cell. Its symmetry is P4mm, No. 99. Its formation energy from the elements is 0.115 eV per atom.

[6]
## PaCoS3 (GGA-PBE)

Data for a geometry-optimized PaCoS3 structure.

Cell lengths 5.6461, 7.1870, 8.9173 Å; angles 100.59, 90.00, 90.00 degrees
Last column: magnetic moment on the atom in μB.
Atoms (fractional coordinates):
Pa  0.7606  0.6862  0.1700  0.26
Pa  0.2394  0.3138  0.8300  0.26
Pa  0.2606  0.3138  0.3300  0.26
Pa  0.7394  0.6862  0.6700  0.26
Co  0.2667  0.9061  0.5979  0.38
Co  0.7333  0.0939  0.4021  0.38
Co  0.7667  0.0939  0.9021  0.38
Co  0.2333  0.9061  0.0979  0.38
S  0.0761  0.9460  0.3359  0.00
S  0.9239  0.0540  0.6641  0.00
S  0.5761  0.0540  0.1641  0.00
S  0.4239  0.9460  0.8359  0.00
S  0.5631  0.8138  0.4343  0.01
S  0.4369  0.1862  0.5657  0.01
S  0.0631  0.1862  0.0657  0.01
S  0.9369  0.8138  0.9343  0.01
S  0.2204  0.5861  0.6182  0.00
S  0.7796  0.4139  0.3818  0.00
S  0.7204  0.4139  0.8818  0.00
S  0.2796  0.5861  0.1182  0.00

The total energy is -136.53 eV per cell. The magnetization comes out at 2.8 μB per cell. Its symmetry is P2_1/c, No. 14.

[7]
## Ac2Nd2Tl (GGA-PBE)

Data for a geometry-optimized Ac2Nd2Tl structure.

Cell lengths 8.8269, 6.8384, 9.5856 Å; angles 70.29, 58.50, 49.80 degrees
Atoms (fractional coordinates):
Ac  0.6626  0.3754  0.7222
Ac  0.3374  0.6246  0.2778
Ac  0.0380  0.6246  0.7222
Ac  0.9620  0.3754  0.2778
Nd  0.7290  0.0000  0.4198
Nd  0.6024  0.0000  0.1202
Nd  0.3976  0.0000  0.8798
Nd  0.2710  0.0000  0.5802
Tl  0.1520  0.6959  0.0000
Tl  0.8480  0.3041  0.0000

The total energy is -40.58 eV per cell. The magnetization comes out at 0.0 μB per cell. Its symmetry is C2/m, No. 12. Its formation energy from the elements is -0.034 eV per atom.

[8]
## Tb2Pr2Tl5 (GGA-PBE)

Data for a geometry-optimized Tb2Pr2Tl5 structure.

Cell lengths 7.3412, 9.9324, 9.8176 Å; angles 120.39, 111.96, 90.00 degrees
Atoms (fractional coordinates):
Tb  0.0000  0.9967  0.0000
Tb  0.5000  0.4967  0.0000
Tb  0.2668  0.3768  0.5000
Tb  0.7332  0.8768  0.5000
Pr  0.0931  0.6916  0.2558
Pr  0.9069  0.4358  0.7442
Pr  0.6627  0.1916  0.2558
Pr  0.3373  0.9358  0.7442
Tl  0.2647  0.7344  0.9152
Tl  0.7353  0.8192  0.0848
Tl  0.1505  0.2344  0.9152
Tl  0.8495  0.3192  0.0848
Tl  0.3617  0.9951  0.3047
Tl  0.6383  0.6904  0.6953
Tl  0.4430  0.4951  0.3047
Tl  0.5570  0.1904  0.6953
Tl  0.9489  0.5961  0.5000
Tl  0.0512  0.0961  0.5000

The total energy is -64.65 eV per cell. The magnetization comes out at 0.0 μB per cell. Its symmetry is Ima2, No. 46. Its formation energy from the elements is -0.186 eV per atom.

[9]
## NbV3P (GGA-PBE)

Data for a geometry-optimized NbV3P structure.

Cell lengths 6.0347, 7.1196, 7.1196 Å; angles 94.02, 95.46, 95.46 degrees
Atoms (fractional coordinates):
Nb  0.8778  0.5633  0.1853
Nb  0.6222  0.8147  0.4367
Nb  0.1222  0.4367  0.8147
Nb  0.3778  0.1853  0.5633
V  0.5566  0.3451  0.9826
V  0.9434  0.0174  0.6549
V  0.4434  0.6549  0.0174
V  0.0566  0.9826  0.3451
V  0.0725  0.8225  0.9478
V  0.4275  0.0522  0.1775
V  0.9275  0.1775  0.0522
V  0.5725  0.9478  0.8225
V  0.2941  0.3818  0.2649
V  0.2059  0.7351  0.6182
V  0.7059  0.6182  0.7351
V  0.7941  0.2649  0.3818
P  0.2500  0.1166  0.8834
P  0.7500  0.8834  0.1166
P  0.2500  0.7232  0.2768
P  0.7500  0.2768  0.7232

The total energy is -174.81 eV per cell. The magnetization comes out at 0.0 μB per cell. The calculation puts the polymorph energy (0 for the lowest one) at 0 meV per atom. Its symmetry is C2/c, No. 15. Its formation energy from the elements is -0.173 eV per atom.

[10]
## PmGa3NiOs (GGA-PBE)

Data for a geometry-optimized PmGa3NiOs structure.

Cell lengths 5.7675, 7.6188, 6.5438 Å; angles 125.60, 90.00, 90.00 degrees
Atoms (fractional coordinates):
Pm  0.7500  0.2828  0.5655
Pm  0.2500  0.7172  0.4345
Ga  0.2500  0.1993  0.3986
Ga  0.0000  0.2500  0.0000
Ga  0.5000  0.7500  0.0000
Ga  0.5000  0.2500  0.0000
Ga  0.0000  0.7500  0.0000
Ga  0.7500  0.8007  0.6014
Ni  0.2500  0.9851  0.9702
Ni  0.7500  0.0149  0.0298
Os  0.2500  0.4239  0.8478
Os  0.7500  0.5761  0.1522

The total energy is -64.48 eV per cell. The magnetization comes out at 0.0 μB per cell. Its symmetry is Cmcm, No. 63. Its formation energy from the elements is -0.233 eV per atom.

[11]
## MgTlBr2 (GGA-PBE)

Data for a geometry-optimized MgTlBr2 structure.

Cell lengths 3.8369, 3.8369, 9.4534 Å; angles 90.00, 90.00, 116.39 degrees
Atoms (fractional coordinates):
Br  0.0000  0.0000  0.9513
Br  0.5000  0.5000  0.3239
Mg  0.0000  0.0000  0.4913
Tl  0.5000  0.5000  0.7334

The total energy is -9.66 eV per cell. The magnetization comes out at 0.0 μB per cell. The calculation puts the polymorph energy (0 for the lowest one) at 390 meV per atom. Its symmetry is Cmm2, No. 35.

[12]
## BaFe2Os (GGA-PBE)

Data for a geometry-optimized BaFe2Os structure.

Cell lengths 3.0339, 4.1409, 6.5158 Å; angles 90.00, 90.00, 90.00 degrees
Last column: magnetic moment on the atom in μB.
Atoms (fractional coordinates):
Ba  0.5000  0.6253  0.7661  -0.02
Fe  0.0000  0.1250  0.0913  2.08
Fe  0.5000  0.1249  0.3647  2.41
Os  0.0000  0.6249  0.2779  0.01

The total energy is -27.09 eV per cell. The magnetization comes out at 4.6 μB per cell. The calculation puts the polymorph energy (0 for the lowest one) at 350 meV per atom. Its symmetry is Pmm2, No. 25. Its formation energy from the elements is 0.748 eV per atom.